{"formula": "PmAlRuO6", "functional": "PBE-GGA", "state": "optimized geometry", "cell": [[-4.749, -0.404, -0.804], [0.651, -4.524, -1.573], [-1.226, -3.265, 8.882]], "species": ["Pm", "Pm", "Al", "Al", "Ru", "Ru", "O", "O", "O", "O", "O", "O", "O", "O", "O", "O", "O", "O"], "frac_coords": [[0.500, 0.500, 0.481], [0.000, 0.000, 0.981], [0.500, 0.500, 0.843], [0.000, 0.000, 0.343], [0.500, 0.500, 0.159], [0.000, 0.000, 0.659], [0.173, 0.827, 0.502], [0.827, 0.173, 0.502], [0.327, 0.327, 0.002], [0.673, 0.673, 0.002], [0.237, 0.763, 0.192], [0.763, 0.237, 0.192], [0.263, 0.263, 0.692], [0.737, 0.737, 0.692], [0.766, 0.234, 0.815], [0.234, 0.766, 0.815], [0.734, 0.734, 0.315], [0.266, 0.266, 0.315]], "raw_formation_energy_kj_per_mol_atoms": -188.9, "energy_ev_per_atom": -7.2372}

***

{"formula": "Pm2AlSbO6", "functional": "PBE-GGA", "state": "optimized geometry", "cell": [[5.120, 0.000, 0.000], [0.000, 5.368, 0.000], [0.000, 0.000, 5.368]], "species": ["Pm", "Pm", "Al", "Sb", "O", "O", "O", "O", "O", "O"], "frac_coords": [[0.009, 0.500, 0.000], [0.009, 0.000, 0.500], [0.596, 0.000, 0.000], [0.620, 0.500, 0.500], [0.733, 0.230, 0.230], [0.733, 0.230, 0.770], [0.038, 0.500, 0.500], [0.245, 0.000, 0.000], [0.733, 0.770, 0.770], [0.733, 0.770, 0.230]], "raw_formation_energy_kj_per_mol_atoms": -249.4, "energy_ev_per_atom": -7.2964}

***

{"formula": "Pm2ScAlO6", "functional": "PBE-GGA", "state": "optimized geometry", "cell": [[5.459, 0.000, -0.002], [0.000, 5.614, 0.000], [0.046, 0.000, 7.809]], "species": ["Pm", "Pm", "Pm", "Pm", "Sc", "Sc", "Al", "Al", "O", "O", "O", "O", "O", "O", "O", "O", "O", "O", "O", "O"], "frac_coords": [[0.013, 0.949, 0.250], [0.513, 0.551, 0.750], [0.987, 0.051, 0.750], [0.487, 0.449, 0.250], [0.500, 0.000, 0.500], [0.000, 0.500, 0.000], [0.500, 0.000, 0.000], [0.000, 0.500, 0.500], [0.305, 0.716, 0.051], [0.805, 0.784, 0.551], [0.695, 0.284, 0.949], [0.195, 0.216, 0.449], [0.282, 0.696, 0.452], [0.782, 0.804, 0.952], [0.718, 0.304, 0.548], [0.218, 0.196, 0.048], [0.907, 0.528, 0.261], [0.407, 0.972, 0.761], [0.093, 0.472, 0.739], [0.593, 0.028, 0.239]], "raw_formation_energy_kj_per_mol_atoms": -325.2, "energy_ev_per_atom": -8.3032}

***

{"formula": "PmAlSeO2", "functional": "PBE-GGA", "state": "optimized geometry", "cell": [[-0.062, 3.237, 2.269], [-6.364, -0.265, 0.206], [1.037, -4.071, 5.836]], "species": ["Pm", "Pm", "Al", "Al", "Se", "Se", "O", "O", "O", "O"], "frac_coords": [[0.750, 0.231, 0.617], [0.250, 0.769, 0.383], [0.250, 0.931, 0.861], [0.750, 0.069, 0.139], [0.750, 0.436, 0.251], [0.250, 0.564, 0.749], [0.750, 0.006, 0.887], [0.250, 0.994, 0.113], [0.250, 0.047, 0.640], [0.750, 0.953, 0.360]], "raw_formation_energy_kj_per_mol_atoms": -254.4, "energy_ev_per_atom": -7.0150}

***

{"formula": "PmSm12Al4O3", "functional": "PBE-GGA", "state": "optimized geometry", "cell": [[-4.621, -5.274, -5.096], [-1.590, -1.887, 8.310], [-2.234, 8.227, -1.574]], "species": ["Pm", "Sm", "Sm", "Sm", "Sm", "Sm", "Sm", "Sm", "Sm", "Sm", "Sm", "Sm", "Sm", "Al", "Al", "Al", "Al", "O", "O", "O"], "frac_coords": [[0.000, 0.000, 0.000], [0.250, 0.500, 0.750], [0.728, 0.000, 0.728], [0.272, 0.000, 0.272], [0.750, 0.500, 0.250], [0.728, 0.728, 0.000], [0.272, 0.272, 0.000], [0.750, 0.250, 0.500], [0.250, 0.750, 0.500], [0.500, 0.250, 0.750], [0.000, 0.728, 0.728], [0.500, 0.750, 0.250], [0.000, 0.272, 0.272], [0.500, 0.500, 0.500], [0.000, 0.000, 0.500], [0.500, 0.000, 0.000], [0.000, 0.500, 0.000], [0.500, 0.000, 0.500], [0.500, 0.500, 0.000], [0.000, 0.500, 0.500]], "raw_formation_energy_kj_per_mol_atoms": -65.8, "energy_ev_per_atom": -5.2435}

***

{"formula": "Pm12SmAl4O3", "functional": "PBE-GGA", "state": "optimized geometry", "cell": [[-3.061, -8.105, 0.955], [6.206, 1.481, 5.938], [-6.495, 5.707, 1.100]], "species": ["Pm", "Pm", "Pm", "Pm", "Pm", "Pm", "Pm", "Pm", "Pm", "Pm", "Pm", "Pm", "Sm", "Al", "Al", "Al", "Al", "O", "O", "O"], "frac_coords": [[0.250, 0.500, 0.750], [0.728, 0.000, 0.728], [0.272, 0.000, 0.272], [0.750, 0.500, 0.250], [0.728, 0.728, 0.000], [0.272, 0.272, 0.000], [0.750, 0.250, 0.500], [0.250, 0.750, 0.500], [0.500, 0.250, 0.750], [0.000, 0.728, 0.728], [0.500, 0.750, 0.250], [0.000, 0.272, 0.272], [0.000, 0.000, 0.000], [0.500, 0.500, 0.500], [0.000, 0.000, 0.500], [0.500, 0.000, 0.000], [0.000, 0.500, 0.000], [0.500, 0.000, 0.500], [0.500, 0.500, 0.000], [0.000, 0.500, 0.500]], "raw_formation_energy_kj_per_mol_atoms": -65.9, "energy_ev_per_atom": -5.2617}

***

{"formula": "Pm2SmAlO", "functional": "PBE-GGA", "state": "optimized geometry", "cell": [[-1.761, 2.760, 3.583], [-0.076, -3.891, 2.960], [4.556, 1.018, 1.454]], "species": ["Pm", "Pm", "Sm", "Al", "O"], "frac_coords": [[0.000, 0.000, 0.500], [0.000, 0.500, 0.000], [0.500, 0.000, 0.000], [0.500, 0.500, 0.500], [0.000, 0.000, 0.000]], "raw_formation_energy_kj_per_mol_atoms": -129.3, "energy_ev_per_atom": -5.9248}

***

{"formula": "SrPmAlO4", "functional": "PBE-GGA", "state": "optimized geometry", "cell": [[5.703, 0.000, 0.049], [0.000, 5.788, 0.000], [-2.178, 0.000, 6.526]], "species": ["Sr", "Sr", "Pm", "Pm", "Al", "Al", "O", "O", "O", "O", "O", "O", "O", "O"], "frac_coords": [[0.707, 0.750, 0.928], [0.293, 0.250, 0.072], [0.802, 0.750, 0.460], [0.198, 0.250, 0.540], [0.255, 0.750, 0.314], [0.745, 0.250, 0.686], [0.960, 0.483, 0.724], [0.040, 0.983, 0.276], [0.040, 0.517, 0.276], [0.960, 0.017, 0.724], [0.453, 0.750, 0.161], [0.547, 0.250, 0.839], [0.448, 0.750, 0.571], [0.552, 0.250, 0.429]], "raw_formation_energy_kj_per_mol_atoms": -294.5, "energy_ev_per_atom": -7.3390}

***

{"formula": "TbPm2AlO", "functional": "PBE-GGA", "state": "optimized geometry", "cell": [[-2.669, 1.145, -3.743], [3.087, -2.413, -2.940], [-2.617, -4.095, 0.613]], "species": ["Tb", "Pm", "Pm", "Al", "O"], "frac_coords": [[0.500, 0.000, 0.000], [0.000, 0.000, 0.500], [0.000, 0.500, 0.000], [0.500, 0.500, 0.500], [0.000, 0.000, 0.000]], "raw_formation_energy_kj_per_mol_atoms": -130.1, "energy_ev_per_atom": -5.9145}

***

{"formula": "TbPm12Al4O3", "functional": "PBE-GGA", "state": "optimized geometry", "cell": [[8.760, 0.000, 0.000], [-2.920, 8.259, 0.000], [-2.920, -4.129, 7.152]], "species": ["Tb", "Pm", "Pm", "Pm", "Pm", "Pm", "Pm", "Pm", "Pm", "Pm", "Pm", "Pm", "Pm", "Al", "Al", "Al", "Al", "O", "O", "O"], "frac_coords": [[0.000, 0.000, 0.000], [0.250, 0.500, 0.750], [0.726, 0.000, 0.726], [0.274, 0.000, 0.274], [0.750, 0.500, 0.250], [0.726, 0.726, 0.000], [0.274, 0.274, 0.000], [0.750, 0.250, 0.500], [0.250, 0.750, 0.500], [0.500, 0.250, 0.750], [0.000, 0.726, 0.726], [0.500, 0.750, 0.250], [0.000, 0.274, 0.274], [0.500, 0.500, 0.500], [0.000, 0.000, 0.500], [0.500, 0.000, 0.000], [0.000, 0.500, 0.000], [0.500, 0.000, 0.500], [0.500, 0.500, 0.000], [0.000, 0.500, 0.500]], "raw_formation_energy_kj_per_mol_atoms": -65.2, "energy_ev_per_atom": -5.2501}

***

{"formula": "PmAl2TcO8", "functional": "PBE-GGA", "state": "optimized geometry", "cell": [[4.646, 0.055, -0.003], [0.093, 4.644, -0.005], [0.004, 0.007, 6.340]], "species": ["Pm", "Al", "Al", "Tc", "O", "O", "O", "O", "O", "O", "O", "O"], "frac_coords": [[0.000, 0.000, 0.500], [0.500, 0.500, 0.748], [0.500, 0.500, 0.252], [0.000, 0.000, 0.000], [0.211, 0.789, 0.207], [0.704, 0.704, 0.000], [0.789, 0.211, 0.207], [0.789, 0.211, 0.793], [0.296, 0.296, 0.000], [0.211, 0.789, 0.793], [0.668, 0.668, 0.500], [0.332, 0.332, 0.500]], "raw_formation_energy_kj_per_mol_atoms": -214.7, "energy_ev_per_atom": -7.4146}

***

{"formula": "PmAlTeO5", "functional": "PBE-GGA", "state": "optimized geometry", "cell": [[-1.306, 1.098, 5.410], [2.236, -5.138, 0.884], [5.704, 5.310, -2.854]], "species": ["Pm", "Pm", "Al", "Al", "Te", "Te", "O", "O", "O", "O", "O", "O", "O", "O", "O", "O"], "frac_coords": [[0.300, 0.700, 0.250], [0.700, 0.300, 0.750], [0.000, 0.000, 0.500], [0.000, 0.000, 0.000], [0.722, 0.278, 0.250], [0.278, 0.722, 0.750], [0.028, 0.972, 0.250], [0.972, 0.028, 0.750], [0.881, 0.310, 0.055], [0.119, 0.690, 0.945], [0.690, 0.119, 0.445], [0.310, 0.881, 0.555], [0.760, 0.652, 0.376], [0.240, 0.348, 0.624], [0.348, 0.240, 0.124], [0.652, 0.760, 0.876]], "raw_formation_energy_kj_per_mol_atoms": -216.0, "energy_ev_per_atom": -6.7921}